No. 1
Material: YScHg2
Method: DFT, PBEsol
State: optimized geometry

Cell: 3.5655 3.5655 9.1054 Å, 78.71 78.71 60.00°
Fractional coordinates of all 4 atoms:
Sc 0.5000 0.5000 0.5000
Hg 0.2459 0.2459 0.2624
Hg 0.7541 0.7541 0.7376
Y 0.0000 0.0000 0.0000

Properties
* energy above the most stable polymorph in this dataset: 0.188 eV per atom

---

No. 2
Material: CaMnPb2
Method: DFT, PBEsol
State: optimized geometry

Cell: 5.2897 5.2897 5.2897 Å, 60.00 60.00 60.00°
Last column: magnetic moment on the atom in μB.
Fractional coordinates of all 4 atoms:
Pb 0.0000 0.0000 0.0000  -0.03
Pb 0.7500 0.7500 0.7500  -0.01
Mn 0.2500 0.2500 0.2500  4.00
Ca 0.5000 0.5000 0.5000  0.00

---

Number 1: formation energy from the elements -386 meV per atom. Number 2: formation energy from the elements 272 meV per atom.